[1]
Sm6MgSc, optimized geometry, DFT PBE; space group = P4/mmm; ΔH_f (0 K) = 18 meV per atom
1.0
4.984 0.000 0.000
0.000 4.984 0.000
0.000 0.000 10.021
Sm Mg Sc
6 1 1
Direct
0.500 0.500 0.000
0.500 0.500 0.500
0.500 0.000 0.252
0.500 0.000 0.748
0.000 0.500 0.252
0.000 0.500 0.748
0.000 0.000 0.000
0.000 0.000 0.500

[2]
NdSmGa, optimized geometry, DFT PBE; relative energy among the computed polymorphs = 0.192 eV/f.u.; space group = I4mm; ΔH_f (0 K) = -333 meV per atom
1.0
-0.299 1.386 3.267
2.695 -2.044 1.114
3.180 5.195 -3.855
Nd Sm Ga
1 1 1
Direct
0.022 0.022 0.045
0.309 0.309 0.618
0.669 0.669 0.337

[3]
Ac7Rh2Pb2, optimized geometry, DFT PBE; relative energy among the computed polymorphs = 0.391 eV/f.u.; space group = Cmmm; ΔH_f (0 K) = -391 meV per atom
1.0
-4.931 3.918 -4.130
-2.209 -6.485 -3.515
-3.399 -2.270 6.325
Ac Rh Pb
7 2 2
Direct
0.000 0.251 0.500
0.500 0.749 0.000
0.000 0.749 0.500
0.500 0.251 0.000
0.000 0.000 0.000
0.500 0.771 0.500
0.500 0.229 0.500
0.717 0.000 0.283
0.283 0.000 0.717
0.822 0.500 0.822
0.178 0.500 0.178

[4]
CsNbTc2Rh, optimized geometry, DFT PBE; space group = P4/mmm; ΔH_f (0 K) = 3093 meV per atom
1.0
4.778 0.000 0.000
0.000 4.959 0.000
0.000 0.000 4.778
Cs Nb Rh Tc
1 1 1 2
Direct
0.000 0.000 0.000
0.000 0.500 0.000
0.500 0.500 0.500
0.000 0.000 0.500
0.500 0.000 0.000

[5]
ZrTe2PN, optimized geometry, DFT PBE; relative energy among the computed polymorphs = 0.756 eV/f.u.; space group = P4/mmm; formation energy from raw total energies = 0.470 eV per atom
1.0
5.709 0.000 0.000
0.000 5.709 0.000
0.000 0.000 3.988
P Te Zr N
1 2 1 1
Direct
0.500 0.500 0.500
0.000 0.500 0.000
0.500 0.000 0.000
0.000 0.000 0.000
0.000 0.000 0.500

[6]
AlCd2Se, optimized geometry, DFT PBE; relative energy among the computed polymorphs = 0.340 eV/f.u.; space group = Cm; formation energy from raw total energies = -0.122 eV per atom
1.0
-3.922 2.925 -0.831
-4.931 -0.378 0.413
-2.214 2.623 5.171
Al Se Cd
1 1 2
Direct
0.204 0.204 0.196
0.572 0.572 0.498
0.964 0.964 0.037
0.760 0.760 0.769

[7]
Th3HgPb12, optimized geometry, DFT PBE; space group = P4/mmm; ΔH_f (0 K) = -153 meV per atom
1.0
4.873 0.000 0.000
0.000 4.873 0.000
0.000 0.000 20.101
Th Hg Pb
3 1 12
Direct
0.000 0.000 0.260
0.000 0.000 0.500
0.000 0.000 0.740
0.000 0.000 0.000
0.500 0.500 0.000
0.500 0.500 0.250
0.500 0.500 0.500
0.500 0.500 0.750
0.500 0.000 0.125
0.500 0.000 0.378
0.500 0.000 0.622
0.500 0.000 0.875
0.000 0.500 0.125
0.000 0.500 0.378
0.000 0.500 0.622
0.000 0.500 0.875

[8]
Ag2SnHg, optimized geometry, DFT PBE; relative energy among the computed polymorphs = 0.048 eV/f.u.; space group = P-1; ΔH_f (0 K) = 68 meV per atom
1.0
3.172 0.379 0.113
0.815 6.036 0.723
-1.737 -2.103 8.783
Ag Sn Hg
4 2 2
Direct
0.194 0.074 0.254
0.192 0.570 0.747
0.468 0.990 0.724
0.467 0.486 0.217
0.715 0.796 0.018
0.947 0.763 0.453
0.937 0.276 0.950
0.724 0.284 0.521

[9]
Ho4Hg3Pt, optimized geometry, DFT PBE; space group = P4/mmm; ΔH_f (0 K) = -679 meV per atom
1.0
-2.232 -1.972 2.066
2.489 -2.629 0.180
5.710 6.236 12.123
Ho Pt Hg
4 1 3
Direct
0.000 0.000 0.890
0.000 0.000 0.110
0.000 0.000 0.370
0.000 0.000 0.630
0.500 0.500 0.000
0.500 0.500 0.246
0.500 0.500 0.500
0.500 0.500 0.754

[10]
Nd3NiRh, optimized geometry, DFT PBE; relative energy among the computed polymorphs = 0.000 eV/f.u.; space group = P-1; ΔH_f (0 K) = -398 meV per atom
1.0
-2.631 -1.925 -2.357
1.216 -4.927 6.119
-6.203 3.114 4.388
Nd Ni Rh
6 2 2
Direct
0.074 0.182 0.391
0.418 0.869 0.653
0.626 0.285 0.769
0.970 0.972 0.031
0.255 0.544 0.026
0.789 0.610 0.395
0.236 0.505 0.647
0.808 0.650 0.774
0.418 0.868 0.273
0.626 0.285 0.149

[11]
Pm4Nd8Tm, optimized geometry, DFT PBE; space group = R-3m; ΔH_f (0 K) = 184 meV per atom
1.0
6.520 0.000 -3.518
-4.209 6.097 0.000
1.409 0.973 10.413
Pm Nd Tm
4 8 1
Direct
0.000 0.000 0.000
0.000 0.500 0.000
0.500 0.500 0.000
0.500 0.000 0.000
0.574 0.787 0.362
0.426 0.213 0.638
0.499 0.250 0.297
0.953 0.202 0.703
0.501 0.750 0.703
0.953 0.750 0.703
0.047 0.250 0.297
0.047 0.798 0.297
0.000 0.500 0.500

[12]
NaSr3Ca4, optimized geometry, DFT PBE; relative energy among the computed polymorphs = 0.017 eV/f.u.; space group = Pmn2_1; ΔH_f (0 K) = 34 meV per atom
1.0
6.806 0.000 0.000
0.000 8.288 0.000
0.000 0.000 13.181
Na Sr Ca
2 6 8
Direct
0.129 0.365 0.000
0.629 0.635 0.500
0.616 0.631 0.000
0.000 0.633 0.242
0.500 0.367 0.258
0.116 0.369 0.500
0.500 0.367 0.742
0.000 0.633 0.758
0.139 0.898 0.000
0.641 0.121 0.000
0.995 0.118 0.248
0.495 0.882 0.252
0.141 0.879 0.500
0.639 0.102 0.500
0.495 0.882 0.748
0.995 0.118 0.752

[13]
FeP2Br, optimized geometry, DFT PBE; relative energy among the computed polymorphs = 4.341 eV/f.u.; space group = Fm-3m; formation energy from raw total energies = 0.992 eV per atom
1.0
0.000 3.193 3.193
3.193 0.000 3.193
3.193 3.193 0.000
P Fe Br
2 1 1
Direct
0.250 0.250 0.250
0.750 0.750 0.750
0.000 0.000 0.000
0.500 0.500 0.500

[14]
Pr6Sm2Tm, optimized geometry, DFT PBE; relative energy among the computed polymorphs = 0.000 eV/f.u.; space group = C2/c; ΔH_f (0 K) = 112 meV per atom
1.0
6.788 -0.111 -0.107
1.835 9.646 -1.136
1.835 -0.823 9.678
Pr Sm Tm
12 4 2
Direct
0.520 0.641 0.268
0.980 0.732 0.359
0.480 0.359 0.732
0.020 0.268 0.641
0.701 0.073 0.458
0.799 0.542 0.927
0.299 0.927 0.542
0.201 0.458 0.073
0.318 0.766 0.962
0.182 0.038 0.234
0.682 0.234 0.038
0.818 0.962 0.766
0.135 0.623 0.662
0.365 0.338 0.377
0.865 0.377 0.338
0.635 0.662 0.623
0.250 0.109 0.891
0.750 0.891 0.109

[15]
InPdAuO4, optimized geometry, DFT PBE; space group = Imma; formation energy from raw total energies = -0.580 eV per atom
1.0
6.329 0.000 0.000
-3.164 5.613 -0.523
0.000 -3.494 5.746
In Pd Au O
2 2 2 8
Direct
0.500 0.000 0.500
0.500 0.000 0.000
0.500 0.500 0.500
0.000 0.500 0.500
0.817 0.635 0.067
0.183 0.365 0.933
0.750 0.500 0.698
0.299 0.045 0.272
0.746 0.045 0.272
0.750 0.500 0.302
0.250 0.500 0.698
0.701 0.955 0.728
0.254 0.955 0.728
0.250 0.500 0.302

[16]
Si6Rh7, optimized geometry, DFT PBE; space group = R-3m; formation energy from raw total energies = -0.298 eV per atom
1.0
-0.528 8.624 -2.112
-5.439 6.635 -2.347
-3.318 7.913 2.343
Si Rh
6 7
Direct
0.912 0.912 0.912
0.088 0.088 0.088
0.816 0.816 0.816
0.184 0.184 0.184
0.668 0.668 0.668
0.332 0.332 0.332
0.922 0.427 0.427
0.427 0.427 0.922
0.427 0.922 0.427
0.078 0.573 0.573
0.573 0.078 0.573
0.573 0.573 0.078
0.500 0.500 0.500

[17]
Sm2ZrBr, optimized geometry, DFT PBE; space group = R-3m; formation energy from raw total energies = -0.142 eV per atom
1.0
-1.037 -3.109 -0.859
1.285 -1.517 -2.744
8.299 -6.031 5.128
Br Zr Sm
1 1 2
Direct
0.500 0.500 0.500
0.000 0.000 0.000
0.095 0.095 0.715
0.905 0.905 0.285

[18]
KCrSi2, optimized geometry, DFT PBE; relative energy among the computed polymorphs = 2.776 eV/f.u.; space group = P4/mmm; formation energy from raw total energies = 0.849 eV per atom
1.0
-0.546 3.085 2.716
-3.692 -1.571 1.041
1.964 -2.484 3.216
Cr K Si
1 1 2
Direct
0.500 0.000 0.500
0.000 0.500 0.500
0.000 0.000 0.000
0.500 0.500 0.000

[19]
Si2NiAu, optimized geometry, DFT PBE; space group = P2/m; formation energy from raw total energies = -0.068 eV per atom
1.0
3.965 0.000 0.000
0.000 4.054 -0.004
0.000 -1.318 4.372
Au Ni Si
1 1 2
Direct
0.500 0.250 0.250
0.500 0.750 0.750
0.000 0.055 0.898
0.000 0.445 0.602

[20]
Pu2Pa3Ga2, optimized geometry, DFT PBE; relative energy among the computed polymorphs = 0.000 eV/f.u.; space group = C2/m; ΔH_f (0 K) = -46 meV per atom
1.0
0.334 3.112 -0.340
-2.341 2.317 4.332
7.826 1.418 6.090
Pu Pa Ga
2 3 2
Direct
0.778 0.089 0.355
0.222 0.911 0.645
0.000 0.500 0.500
0.307 0.286 0.099
0.693 0.714 0.901
0.544 0.688 0.223
0.456 0.312 0.777